No. 1
{"formula": "Ba2ScTe2", "functional": "PBE", "state": "relaxed", "formation_energy_uncorrected_ev_per_atom": -1.055, "de_polymorph_mev_per_atom": 0.0, "cell": [[8.618, 0.000, 0.000], [0.000, 8.618, 0.000], [0.000, 0.000, 4.908]], "species": ["Ba", "Ba", "Ba", "Ba", "Sc", "Sc", "Te", "Te", "Te", "Te"], "fractional_positions": [[0.152, 0.348, 0.000], [0.348, 0.848, 0.000], [0.652, 0.152, 0.000], [0.848, 0.652, 0.000], [0.000, 0.000, 0.500], [0.500, 0.500, 0.500], [0.162, 0.662, 0.500], [0.338, 0.162, 0.500], [0.662, 0.838, 0.500], [0.838, 0.338, 0.500]]}

No. 2
{"formula": "SiAsP2F", "functional": "PBE", "state": "relaxed", "formation_energy_uncorrected_ev_per_atom": 0.754, "cell": [[4.345, 0.000, 0.000], [0.000, 4.345, 0.000], [0.000, 0.000, 4.596]], "species": ["Si", "As", "P", "P", "F"], "fractional_positions": [[0.000, 0.000, 0.000], [0.500, 0.500, 0.000], [0.000, 0.500, 0.500], [0.500, 0.000, 0.500], [0.500, 0.500, 0.500]]}

No. 3
{"formula": "BeCo2Se", "functional": "PBE", "state": "relaxed", "formation_energy_uncorrected_ev_per_atom": 0.075, "de_polymorph_mev_per_atom": 0.0, "cell": [[4.033, -1.462, 0.000], [4.033, 1.462, 0.000], [-0.994, 0.000, 3.799]], "species": ["Be", "Co", "Co", "Se"], "fractional_positions": [[0.000, 0.000, 0.000], [0.502, 0.502, 0.477], [0.731, 0.731, 0.086], [0.239, 0.239, 0.621]]}

No. 4
{"formula": "RuCI2N", "functional": "PBE", "state": "relaxed", "formation_energy_uncorrected_ev_per_atom": 1.663, "de_polymorph_mev_per_atom": 99.0, "cell": [[5.484, 0.000, 0.000], [0.000, 5.484, 0.000], [0.000, 0.000, 3.694]], "species": ["Ru", "C", "I", "I", "N"], "fractional_positions": [[0.000, 0.000, 0.000], [0.500, 0.500, 0.500], [0.000, 0.500, 0.000], [0.500, 0.000, 0.000], [0.000, 0.000, 0.500]]}

No. 5
{"formula": "Mg2Mn2As", "functional": "PBE", "state": "relaxed", "formation_enthalpy_0k_ev_per_atom": 0.836, "de_polymorph_mev_per_atom": 606.8, "cell": [[6.703, 0.000, 0.000], [0.000, 6.703, 0.000], [0.000, 0.000, 3.394]], "species": ["Mg", "Mg", "Mg", "Mg", "Mn", "Mn", "Mn", "Mn", "As", "As"], "fractional_positions": [[0.136, 0.364, 0.000], [0.364, 0.864, 0.000], [0.636, 0.136, 0.000], [0.864, 0.636, 0.000], [0.165, 0.665, 0.500], [0.335, 0.165, 0.500], [0.665, 0.835, 0.500], [0.835, 0.335, 0.500], [0.000, 0.000, 0.000], [0.500, 0.500, 0.000]]}

No. 6
{"formula": "CaSnB3", "functional": "PBE", "state": "relaxed", "formation_enthalpy_0k_ev_per_atom": 1.558, "de_polymorph_mev_per_atom": 0.0, "cell": [[4.541, 0.000, 0.000], [0.000, 4.541, 0.000], [0.000, 0.000, 4.541]], "species": ["Ca", "Sn", "B", "B", "B"], "fractional_positions": [[0.000, 0.000, 0.000], [0.500, 0.500, 0.500], [0.000, 0.500, 0.500], [0.500, 0.000, 0.500], [0.500, 0.500, 0.000]]}

No. 7
{"formula": "NbCdNi2Pd", "functional": "PBE", "state": "relaxed", "formation_enthalpy_0k_ev_per_atom": 1.375, "cell": [[4.566, 0.000, 0.000], [0.000, 4.566, 0.000], [0.000, 0.000, 4.834]], "species": ["Nb", "Cd", "Ni", "Ni", "Pd"], "fractional_positions": [[0.000, 0.000, 0.000], [0.500, 0.500, 0.500], [0.000, 0.500, 0.500], [0.500, 0.000, 0.500], [0.500, 0.500, 0.000]]}

No. 8
{"formula": "Tb2PmPrDy2", "functional": "PBE", "state": "relaxed", "formation_enthalpy_0k_ev_per_atom": 0.272, "cell": [[6.638, 0.000, 0.000], [0.000, 17.877, 0.000], [0.000, 0.000, 3.407]], "species": ["Tb", "Tb", "Tb", "Tb", "Pm", "Pm", "Pr", "Pr", "Dy", "Dy", "Dy", "Dy"], "fractional_positions": [[0.225, 0.151, 0.000], [0.275, 0.651, 0.500], [0.725, 0.349, 0.500], [0.775, 0.849, 0.000], [0.000, 0.000, 0.500], [0.500, 0.500, 0.000], [0.000, 0.500, 0.500], [0.500, 0.000, 0.000], [0.228, 0.317, 0.500], [0.272, 0.817, 0.000], [0.728, 0.183, 0.000], [0.772, 0.683, 0.500]]}

Taking the records one at a time from the top gives size of the total moment values of 2.00; 0.00; 0.00; 1.05; 0.00; 0.00; 3.01; 0.00 μB per cell.
Taking the records one at a time from the top gives E_tot values of -21.7; -19.0; -21.1; -21.6; -22.0; -18.2; -20.9; -26.4 eV per formula unit.